SbPbI | PBE | optimized geometry

Cell lengths 3.6761, 5.7762, 20.0856 Å; angles 90.00, 90.00, 90.00 degrees
Closest atoms and distances in Å follow each position.
Element x y z (fractional)
Sb (0.0000, 0.2457, 0.0000)  2 Sb 2.84-2.94
Sb (0.0000, 0.7543, 0.0000)  2 Sb 2.84-2.94
Sb (0.5000, 0.2543, 0.5000)  2 Sb 2.84-2.94
Sb (0.5000, 0.7457, 0.5000)  2 Sb 2.84-2.94
Pb (0.0000, 0.5000, 0.1481)  2 Sb 3.32, 5 I 3.44-3.48, 2 Pb 3.68
Pb (0.0000, 0.5000, 0.8519)  2 Sb 3.32, 5 I 3.44-3.48, 2 Pb 3.68
Pb (0.5000, 0.0000, 0.3519)  2 Sb 3.32, 5 I 3.44-3.48, 2 Pb 3.68
Pb (0.5000, 0.0000, 0.6481)  2 Sb 3.32, 5 I 3.44-3.48, 2 Pb 3.68
I (0.0000, 0.5000, 0.3195)  5 Pb 3.44-3.48, 2 I 3.68
I (0.0000, 0.5000, 0.6805)  5 Pb 3.44-3.48, 2 I 3.68
I (0.5000, 0.0000, 0.1805)  5 Pb 3.44-3.48, 2 I 3.68
I (0.5000, 0.0000, 0.8195)  5 Pb 3.44-3.48, 2 I 3.68

Computed properties:
Final energy: -3.127 eV per atom



Cs2Sn4BiPb3 | PBE | optimized geometry

Cell lengths 5.3537, 5.3537, 13.3902 Å; angles 90.00, 90.00, 90.00 degrees
Closest atoms and distances in Å follow each position.
Element x y z (fractional)
Cs (0.0000, 0.5000, 0.2490)  6 Pb 4.12-4.30, 8 Sn 4.14-4.28, 2 Bi 4.30
Cs (0.5000, 0.0000, 0.7510)  6 Pb 4.12-4.30, 8 Sn 4.14-4.28, 2 Bi 4.30
Sn (0.0000, 0.0000, 0.0000)  4 Pb 3.18
Sn (0.0000, 0.5000, 0.6263)  3 Pb 3.17-3.29, 2 Bi 3.17
Sn (0.5000, 0.0000, 0.3737)  3 Pb 3.17-3.29, 2 Bi 3.17
Sn (0.5000, 0.5000, 0.0000)  4 Pb 3.18
Bi (0.0000, 0.0000, 0.5000)  4 Sn 3.17
Pb (0.0000, 0.5000, 0.8723)  5 Sn 3.18-3.29
Pb (0.5000, 0.0000, 0.1277)  5 Sn 3.18-3.29
Pb (0.5000, 0.5000, 0.5000)  4 Sn 3.17

Computed properties:
Formation energy from the elements: -0.14 eV/atom
Final energy: -3.411 eV per atom



Ti4In3H2 | PBE | optimized geometry

Cell lengths 7.4095, 7.4095, 7.7238 Å; angles 121.38, 121.38, 23.08 degrees
Closest atoms and distances in Å follow each position.
Element x y z (fractional)
Ti (0.0776, 0.0776, 0.4391)  2 H 1.98
Ti (0.2965, 0.2965, 0.7066)  3 H 1.90-2.12
Ti (0.7035, 0.7035, 0.2934)  3 H 1.90-2.12
Ti (0.9224, 0.9224, 0.5609)  2 H 1.98
In (0.0000, 0.0000, 0.0000)  6 Ti 2.95-2.99, 2 In 2.96
In (0.3577, 0.3577, 0.1729)  1 H 2.75, 2 In 2.96, 2 Ti 3.01
In (0.6423, 0.6423, 0.8271)  1 H 2.75, 2 In 2.96, 2 Ti 3.01
H (0.3166, 0.3166, 0.4823)  5 Ti 1.90-2.12
H (0.6834, 0.6834, 0.5177)  5 Ti 1.90-2.12

Computed properties:
Energy relative to the lowest polymorph listed for this composition: 68 meV per atom
Final energy: -5.277 eV per atom



SrCSCl2 | PBE | optimized geometry

Cell lengths 5.4867, 5.4867, 5.9618 Å; angles 90.00, 90.00, 90.00 degrees
Closest atoms and distances in Å follow each position.
Element x y z (fractional)
Sr (0.0000, 0.0000, 0.0000)  4 Cl 2.74, 2 S 2.98
C (0.5000, 0.5000, 0.5000)  4 S 3.88, 8 Cl 4.05
S (0.0000, 0.0000, 0.5000)  2 Sr 2.98
Cl (0.0000, 0.5000, 0.0000)  2 Sr 2.74
Cl (0.5000, 0.0000, 0.0000)  2 Sr 2.74

Computed properties:
Energy relative to the lowest polymorph listed for this composition: 1106 meV per atom
Final energy: -2.847 eV per atom



| no. | DOS at the Fermi energy (states/eV/f.u.) |
| --- | --- |
| 1 | 1.36 |
| 2 | 3.49 |
| 3 | 8.05 |
| 4 | 11.43 |